Here is a relaxed structure of CdPbSO from the Open Quantum Materials Database. Energies are from PBE.

abc: 6.7286 7.0027 7.4612
angles: 90.00 90.00 90.00
With the nearest neighbours (Å) after each atom.
Positions (direct):
Cd 0.2003 0.4104 0.0460  2 O 2.20-2.32
Cd 0.7997 0.9104 0.4540  2 O 2.20-2.32
Cd 0.2997 0.5896 0.5460  2 O 2.20-2.32
Cd 0.7003 0.0896 0.9540  2 O 2.20-2.32
O 0.4581 0.2056 0.1202  2 Cd 2.20-2.32, 1 Pb 2.25
O 0.5419 0.7056 0.3797  2 Cd 2.20-2.32, 1 Pb 2.25
O 0.0419 0.7944 0.6203  2 Cd 2.20-2.32, 1 Pb 2.25
O 0.9581 0.2944 0.8798  2 Cd 2.20-2.32, 1 Pb 2.25
Pb 0.6842 0.5197 0.1706  1 O 2.25
Pb 0.3158 0.0197 0.3294  1 O 2.25
Pb 0.8158 0.4803 0.6706  1 O 2.25
Pb 0.1842 0.9803 0.8294  1 O 2.25
S 0.9238 0.8613 0.1243  2 Cd 2.54-2.62
S 0.0762 0.3613 0.3757  2 Cd 2.54-2.62
S 0.5762 0.1387 0.6243  2 Cd 2.54-2.62
S 0.4238 0.6387 0.8757  2 Cd 2.54-2.62

## Properties
total energy = -66.2 eV for the cell shown
symmetry = P2_12_12_1

=====

Here is a relaxed structure of CdPbSO from the Open Quantum Materials Database. Energies are from PBE.

abc: 7.5083 12.3435 7.3710
angles: 90.00 90.00 90.00
With the nearest neighbours (Å) after each atom.
Positions (direct):
Cd 0.7546 0.0470 0.0153  1 O 2.24
Cd 0.7454 0.5470 0.0153  1 O 2.24
Cd 0.2546 0.0470 0.4847  1 O 2.24
Cd 0.2454 0.5470 0.4847  1 O 2.24
Cd 0.7546 0.4530 0.5153  1 O 2.24
Cd 0.7454 0.9530 0.5153  1 O 2.24
Cd 0.2546 0.4530 0.9847  1 O 2.24
Cd 0.2454 0.9530 0.9847  1 O 2.24
O 0.7186 0.2269 0.0198  1 Cd 2.24, 2 Pb 2.32-2.46
O 0.7814 0.7269 0.0198  1 Cd 2.24, 2 Pb 2.32-2.46
O 0.2186 0.2269 0.4802  1 Cd 2.24, 2 Pb 2.32-2.46
O 0.2814 0.7269 0.4802  1 Cd 2.24, 2 Pb 2.32-2.46
O 0.7186 0.2731 0.5198  1 Cd 2.24, 2 Pb 2.32-2.46
O 0.7814 0.7731 0.5198  1 Cd 2.24, 2 Pb 2.32-2.46
O 0.2186 0.2731 0.9802  1 Cd 2.24, 2 Pb 2.32-2.46
O 0.2814 0.7731 0.9802  1 Cd 2.24, 2 Pb 2.32-2.46
Pb 0.0195 0.2490 0.2181  2 O 2.32-2.46
Pb 0.4805 0.7490 0.2181  2 O 2.32-2.46
Pb 0.5195 0.2490 0.2819  2 O 2.32-2.46
Pb 0.9805 0.7490 0.2819  2 O 2.32-2.46
Pb 0.0195 0.2510 0.7181  2 O 2.32-2.46
Pb 0.4805 0.7510 0.7181  2 O 2.32-2.46
Pb 0.5195 0.2510 0.7819  2 O 2.32-2.46
Pb 0.9805 0.7510 0.7819  2 O 2.32-2.46
S 0.4711 0.4860 0.2457  3 Cd 2.55-2.77
S 0.0289 0.9860 0.2457  3 Cd 2.55-2.77
S 0.9711 0.4860 0.2543  3 Cd 2.55-2.77
S 0.5289 0.9860 0.2543  3 Cd 2.55-2.77
S 0.4711 0.0140 0.7457  3 Cd 2.55-2.77
S 0.0289 0.5140 0.7457  3 Cd 2.55-2.77
S 0.9711 0.0140 0.7543  3 Cd 2.55-2.77
S 0.5289 0.5140 0.7543  3 Cd 2.55-2.77

## Properties
total energy = -132.6 eV for the cell shown
symmetry = Pbca

=====

Here is a relaxed structure of CdPbSeO from the Open Quantum Materials Database. Energies are from PBE.

abc: 6.5677 7.4104 7.8321
angles: 90.00 90.00 90.00
With the nearest neighbours (Å) after each atom.
Positions (direct):
Cd 0.4750 0.6855 0.0669  2 O 2.16-2.21
Cd 0.5250 0.1855 0.4331  2 O 2.16-2.21
Cd 0.0250 0.3145 0.5669  2 O 2.16-2.21
Cd 0.9750 0.8145 0.9331  2 O 2.16-2.21
O 0.2631 0.9136 0.0290  2 Cd 2.16-2.21, 1 Pb 2.17
O 0.7369 0.4136 0.4710  2 Cd 2.16-2.21, 1 Pb 2.17
O 0.2369 0.0864 0.5290  2 Cd 2.16-2.21, 1 Pb 2.17
O 0.7631 0.5864 0.9710  2 Cd 2.16-2.21, 1 Pb 2.17
Pb 0.9457 0.3528 0.0385  1 O 2.17
Pb 0.0543 0.8528 0.4615  1 O 2.17
Pb 0.5543 0.6472 0.5385  1 O 2.17
Pb 0.4457 0.1472 0.9615  1 O 2.17
Se 0.7262 0.9701 0.2182  2 Cd 2.67-2.93
Se 0.2738 0.4701 0.2818  2 Cd 2.67-2.93
Se 0.7738 0.0299 0.7182  2 Cd 2.67-2.93
Se 0.2262 0.5299 0.7818  2 Cd 2.67-2.93

## Properties
total energy = -62.9 eV for the cell shown
symmetry = P2_12_12_1